No. 1
Below is a relaxed In4Hg8Pb3 crystal, with properties calculated at the GGA-PBE level.

## Properties
The value obtained for the energy relative to the lowest polymorph listed for this composition is 0 meV per atom. The value obtained for the size of the total moment is 0.00 μB/f.u. The formation energy is 0.031 eV/atom. As for the symmetry: P-1.

Cell: 6.936 7.040 12.164 Å, 73.40 55.88 60.44°
Fractional positions:
Hg1 0.367 0.208 0.270
Hg2 0.383 0.681 0.261
Hg3 0.089 0.328 0.745
Hg4 0.617 0.319 0.739
Hg5 0.633 0.792 0.730
Hg6 0.081 0.825 0.758
Hg7 0.911 0.672 0.255
Hg8 0.919 0.175 0.242
In1 0.000 0.000 0.000
In2 0.500 0.000 0.000
In3 0.000 0.000 0.500
In4 0.000 0.500 0.000
Pb1 0.500 0.500 0.500
Pb2 0.500 0.000 0.500
Pb3 0.500 0.500 0.000

No. 2
Below is a relaxed LaHo7Th2 crystal, with properties calculated at the GGA-PBE level.

## Properties
The value obtained for the size of the total moment is 0.00 μB/f.u. The formation energy is 0.035 eV/atom. As for the symmetry: P-1.

Cell: 6.161 7.954 11.321 Å, 135.25 56.82 121.24°
Fractional positions:
Ho1 0.996 0.804 0.207
Ho2 0.501 0.304 0.204
Ho3 0.500 0.500 0.000
Ho4 0.499 0.696 0.796
Ho5 0.004 0.605 0.403
Ho6 0.996 0.395 0.597
Ho7 0.004 0.196 0.793
Th1 0.501 0.902 0.598
Th2 0.499 0.098 0.402
La1 0.000 0.000 0.000

No. 3
Below is a relaxed Li2CaOs crystal, with properties calculated at the GGA-PBE level.

## Properties
The value obtained for the energy relative to the lowest polymorph listed for this composition is 5 meV per atom. The value obtained for the size of the total moment is 0.00 μB/f.u. The formation energy is 0.338 eV/atom. As for the symmetry: C2/m.

Cell: 5.072 5.072 5.439 Å, 85.24 85.24 30.72°
Fractional positions:
Os1 0.750 0.750 0.750
Ca1 0.250 0.250 0.250
Li1 0.012 0.012 0.943
Li2 0.488 0.488 0.557

No. 4
Below is a relaxed K2LaTlBr6 crystal, with properties calculated at the GGA-PBE level.

## Properties
The value obtained for the uncorrected formation energy is -1.68 eV per atom. The value obtained for the size of the total moment is 0.00 μB/f.u. As for the symmetry: P1.

Cell: 8.213 8.212 8.599 Å, 61.46 61.44 59.94°
Fractional positions:
Br1 0.966 0.577 0.247
Br2 0.576 0.210 0.248
Br3 0.123 0.421 0.772
Br4 0.684 0.122 0.772
Br5 0.421 0.684 0.772
Br6 0.210 0.967 0.247
K1 0.527 0.527 0.418
K2 0.018 0.018 0.946
Tl1 0.813 0.813 0.560
La1 0.322 0.322 0.033

No. 5
Below is a relaxed CaPBr crystal, with properties calculated at the GGA-PBE level.

## Properties
The value obtained for the energy relative to the lowest polymorph listed for this composition is 767 meV per atom. The value obtained for the uncorrected formation energy is -0.52 eV per atom. The value obtained for the size of the total moment is 0.11 μB/f.u. As for the symmetry: P3m1.

Cell: 3.724 3.724 7.906 Å, 90.00 90.00 120.00°
Fractional positions:
P1 0.333 0.667 0.592
Br1 0.000 0.000 0.089
Ca1 0.667 0.333 0.319

No. 6
Below is a relaxed AcSiGe crystal, with properties calculated at the GGA-PBE level.

## Properties
The value obtained for the energy relative to the lowest polymorph listed for this composition is 34 meV per atom. The value obtained for the uncorrected formation energy is -0.56 eV per atom. The value obtained for the size of the total moment is 0.00 μB/f.u. As for the symmetry: Immm.

Cell: 4.222 6.371 6.371 Å, 77.37 70.65 70.65°
Fractional positions:
Ge1 0.000 0.684 0.316
Ge2 0.000 0.316 0.684
Ac1 0.251 0.749 0.749
Ac2 0.749 0.251 0.251
Si1 0.500 0.850 0.150
Si2 0.500 0.150 0.850